Ho5Tm2Sb4, optimized geometry, DFT PBE-GGA; ΔE_f (raw) = -450.3 meV/atom; ρ = 7842 kg/m3; total magnetization = 0.0 Bohr magnetons per cell; SG = C2/m
1.0
12.652 -1.998 0.000
12.652 1.998 0.000
-0.261 0.000 6.909
Ho Tm Sb
5 2 4
Direct
0.000 0.000 0.000
0.357 0.357 0.806
0.407 0.407 0.296
0.593 0.593 0.704
0.643 0.643 0.194
0.263 0.263 0.219
0.737 0.737 0.781
0.173 0.173 0.520
0.470 0.470 0.691
0.530 0.530 0.309
0.827 0.827 0.480